VASP calculation (PBE+U) on an optimized crystal structure of CuAgMo2O8.

## Properties
Total magnetic moment ... 0.169 μB/atom
DOS(E_F) ... 6.42 states/eV/cell
Space group ... No. 119
Crystal system ... tetragonal
E ... -6.01 eV/atom

a b c (Å): 5.9838 5.9838 5.9838
angles (deg): 109.80 109.80 108.82
Closest atoms and distances in Å follow each position.
Sites, in units of the cell vectors:
1 Cu 0.0000 0.0000 0.0000  4 O 2.08
2 Ag 0.2500 0.7500 0.5000  4 O 2.13
3 Mo 0.5000 0.5000 0.0000  4 O 1.79
4 Mo 0.7500 0.2500 0.5000  4 O 1.81
5 O 0.3421 0.1372 0.7951  1 Mo 1.79
6 O 0.3421 0.5470 0.2049  1 Mo 1.79
7 O 0.3849 0.1004 0.2845  1 Mo 1.81
8 O 0.4530 0.6579 0.7951  1 Mo 1.79
9 O 0.8160 0.1004 0.7155  1 Mo 1.81
10 O 0.8628 0.6579 0.2049  1 Mo 1.79
11 O 0.8996 0.1840 0.2845  1 Mo 1.81
12 O 0.8996 0.6151 0.7155  1 Mo 1.81